DFT (PBE) results for a relaxed structure of CsZnBiF6.

Output
- raw formation energy (kJ/mol of atoms) = -241.7

a = 5.9566 Å, b = 5.9566 Å, c = 12.5528 Å
α = 90.00°, β = 90.00°, γ = 120.00°
Space group P-31c (No. 163)
Asymmetric unit:
Cs1 0.0000 0.0000 0.0000
Zn1 0.3333 0.6667 0.2500
Bi1 0.3333 0.6667 0.7500
F1 0.0250 0.4024 0.1561

***

DFT (PBE) results for a relaxed structure of YMnTe2I.

Output
- excess energy over the best structure of this formula in the dataset (meV/atom) = 152
- raw formation energy (kJ/mol of atoms) = -4.8

a = 5.8911 Å, b = 5.8911 Å, c = 5.9374 Å
α = 90.00°, β = 90.00°, γ = 90.00°
Space group P4/mmm (No. 123)
Asymmetric unit:
Y1 0.0000 0.0000 0.0000
Mn1 0.5000 0.5000 0.5000
Te1 0.0000 0.5000 0.0000
I1 0.0000 0.0000 0.5000

***

DFT (PBE) results for a relaxed structure of TbReC2.

Output
- excess energy over the best structure of this formula in the dataset (meV/atom) = 0
- formation energy (meV per atom) = -169

a = 5.6511 Å, b = 3.3702 Å, c = 10.8381 Å
α = 90.00°, β = 90.00°, γ = 90.00°
Space group Pnma (No. 62)
Asymmetric unit:
Tb1 0.0991 0.2500 0.1322
Re1 0.1038 0.7500 0.3821
C1 0.1521 0.2500 0.7526
C2 0.2155 0.2500 0.4809

***

DFT (PBE) results for a relaxed structure of Tb2Pm3Pr8.

Output
- excess energy over the best structure of this formula in the dataset (meV/atom) = 51
- formation energy (meV per atom) = 203

a = 20.7034 Å, b = 7.7693 Å, c = 5.8572 Å
α = 90.00°, β = 90.01°, γ = 90.00°
Space group C2/m (No. 12)
Asymmetric unit:
Tb1 0.2411 0.0000 0.4993
Pm1 0.0000 0.0000 0.5000
Pm2 0.0000 0.2861 0.0000
Pr1 0.1068 0.2926 0.4998
Pr2 0.1341 0.0000 0.9994
Pr3 0.1744 0.5000 0.0003

***

DFT (PBE) results for a relaxed structure of Mn3NCl.

Output
- excess energy over the best structure of this formula in the dataset (meV/atom) = 0
- raw formation energy (kJ/mol of atoms) = 26.1

a = 4.0153 Å, b = 4.0153 Å, c = 4.0153 Å
α = 90.00°, β = 90.00°, γ = 90.00°
Space group Pm-3m (No. 221)
Asymmetric unit:
Mn1 0.0000 0.0000 0.5000
N1 0.0000 0.0000 0.0000
Cl1 0.5000 0.5000 0.5000

***

DFT (PBE) results for a relaxed structure of Pr2CdGe4Rh3.

Output
- formation energy (meV per atom) = -713

a = 4.3439 Å, b = 4.3439 Å, c = 10.3835 Å
α = 90.00°, β = 90.00°, γ = 90.00°
Space group P-4m2 (No. 115)
Asymmetric unit:
Pr1 0.0000 0.5000 0.2354
Cd1 0.0000 0.0000 0.5000
Ge1 0.0000 0.0000 0.0000
Ge2 0.0000 0.5000 0.6481
Ge3 0.5000 0.5000 0.0000
Rh1 0.0000 0.5000 0.8827
Rh2 0.5000 0.5000 0.5000

***

DFT (PBE) results for a relaxed structure of KPtSe.

Output
- raw formation energy (kJ/mol of atoms) = -35.9

a = 5.1527 Å, b = 5.1618 Å, c = 11.5114 Å
α = 90.00°, β = 90.00°, γ = 90.00°
Space group Fmm2 (No. 42)
Asymmetric unit:
K1 0.0000 0.0000 0.0000
Pt1 0.0000 0.0000 0.2710
Se1 0.0000 0.0000 0.7296

***

DFT (PBE) results for a relaxed structure of CaY2Cl.

Output
- excess energy over the best structure of this formula in the dataset (meV/atom) = 416
- raw formation energy (kJ/mol of atoms) = -30.3

a = 3.5830 Å, b = 6.1860 Å, c = 5.6793 Å
α = 90.00°, β = 90.84°, γ = 90.00°
Space group P2/m (No. 10)
Asymmetric unit:
Ca1 0.0000 0.0000 0.0000
Y1 0.2886 0.5000 0.7582
Cl1 0.5000 0.0000 0.5000

***

DFT (PBE) results for a relaxed structure of PrSm7In4.

Output
- formation energy (meV per atom) = -135

a = 14.6591 Å, b = 5.7933 Å, c = 10.7288 Å
α = 90.00°, β = 123.63°, γ = 90.00°
Space group C2/m (No. 12)
Asymmetric unit:
Pr1 0.0000 0.0000 0.0000
Sm1 0.0000 0.5000 0.0000
Sm2 0.0629 0.0000 0.3937
Sm3 0.2069 0.0000 0.8779
Sm4 0.2164 0.5000 0.6544
In1 0.0586 0.5000 0.7566
In2 0.1821 0.5000 0.3324

***

DFT (PBE) results for a relaxed structure of CsAsPS2.

Output
- excess energy over the best structure of this formula in the dataset (meV/atom) = 0
- raw formation energy (kJ/mol of atoms) = 16.3

a = 5.1328 Å, b = 5.1328 Å, c = 4.9146 Å
α = 90.00°, β = 90.00°, γ = 90.00°
Space group P4/mmm (No. 123)
Asymmetric unit:
Cs1 0.0000 0.0000 0.0000
As1 0.5000 0.5000 0.5000
P1 0.5000 0.5000 0.0000
S1 0.0000 0.5000 0.5000

***

DFT (PBE) results for a relaxed structure of TlRh2.

Output
- excess energy over the best structure of this formula in the dataset (meV/atom) = 121
- formation energy (meV per atom) = 297

a = 7.5233 Å, b = 7.5233 Å, c = 7.5233 Å
α = 90.00°, β = 90.00°, γ = 90.00°
Space group Fd-3m (No. 227, origin choice 2)
Asymmetric unit:
Tl1 0.1250 0.1250 0.1250
Rh1 0.0000 0.0000 0.5000

***

DFT (PBE) results for a relaxed structure of LiAs2Pd7Pb2.

Output
- formation energy (meV per atom) = -279

a = 5.7229 Å, b = 5.6976 Å, c = 14.0704 Å
α = 90.00°, β = 97.23°, γ = 90.00°
Space group C2/m (No. 12)
Asymmetric unit:
Li1 0.0000 0.0000 0.0000
As1 0.0730 0.5000 0.2383
Pd1 0.0000 0.5000 0.0000
Pd2 0.1142 0.5000 0.4184
Pd3 0.2071 0.2502 0.8620
Pb1 0.1121 0.0000 0.3876

***

DFT (PBE) results for a relaxed structure of Ta4Mo3.

Output
- excess energy over the best structure of this formula in the dataset (meV/atom) = 93
- formation energy (meV per atom) = -87

a = 3.2453 Å, b = 4.7005 Å, c = 31.4153 Å
α = 90.00°, β = 90.00°, γ = 90.00°
Space group Fmmm (No. 69)
Asymmetric unit:
Ta1 0.0000 0.0000 0.0708
Ta2 0.0000 0.0000 0.2121
Mo1 0.0000 0.0000 0.3582
Mo2 0.0000 0.0000 0.5000

***

DFT (PBE) results for a relaxed structure of CeYMg2.

Output
- excess energy over the best structure of this formula in the dataset (meV/atom) = 12
- formation energy (meV per atom) = -8

a = 5.4372 Å, b = 5.4372 Å, c = 3.7539 Å
α = 90.00°, β = 90.00°, γ = 90.00°
Space group P4/mmm (No. 123)
Asymmetric unit:
Ce1 0.0000 0.0000 0.0000
Y1 0.5000 0.5000 0.0000
Mg1 0.0000 0.5000 0.5000

***

DFT (PBE) results for a relaxed structure of LaZrW.

Output
- excess energy over the best structure of this formula in the dataset (meV/atom) = 193
- formation energy (meV per atom) = 591

a = 2.9536 Å, b = 5.1381 Å, c = 8.8017 Å
α = 90.00°, β = 90.00°, γ = 90.00°
Space group Imm2 (No. 44)
Asymmetric unit:
La1 0.0000 0.0000 0.0000
Zr1 0.0000 0.0000 0.3276
W1 0.0000 0.0000 0.6686

***

DFT (PBE) results for a relaxed structure of AsBr2.

Output
- excess energy over the best structure of this formula in the dataset (meV/atom) = 395
- raw formation energy (kJ/mol of atoms) = 11.4

a = 3.6115 Å, b = 3.6115 Å, c = 14.4759 Å
α = 90.00°, β = 90.00°, γ = 120.00°
Space group P6_3/mmc (No. 194)
Asymmetric unit:
As1 0.0000 0.0000 0.2500
Br1 0.3333 0.6667 0.1159

***

DFT (PBE) results for a relaxed structure of AcY4Sb5.

Output
- raw formation energy (kJ/mol of atoms) = -110.2

a = 4.4692 Å, b = 6.3635 Å, c = 22.3679 Å
α = 90.00°, β = 90.00°, γ = 90.00°
Space group Immm (No. 71)
Asymmetric unit:
Ac1 0.0000 0.0000 0.0000
Y1 0.0000 0.0000 0.2045
Y2 0.0000 0.0000 0.3987
Sb1 0.0000 0.5000 0.0000
Sb2 0.0000 0.5000 0.1986
Sb3 0.0000 0.5000 0.3912

***

DFT (PBE) results for a relaxed structure of MnGa4.

Output
- excess energy over the best structure of this formula in the dataset (meV/atom) = 329
- formation energy (meV per atom) = 156

a = 4.6667 Å, b = 4.6667 Å, c = 4.6667 Å
α = 90.00°, β = 90.00°, γ = 90.00°
Space group Pm-3m (No. 221)
Asymmetric unit:
Mn1 0.0000 0.0000 0.0000
Ga1 0.0000 0.0000 0.5000
Ga2 0.5000 0.5000 0.5000

***

DFT (PBE) results for a relaxed structure of Be2TlCl.

Output
- excess energy over the best structure of this formula in the dataset (meV/atom) = 293
- raw formation energy (kJ/mol of atoms) = 43.4

a = 5.7172 Å, b = 5.7172 Å, c = 9.6136 Å
α = 90.00°, β = 90.00°, γ = 90.00°
Space group I-42d (No. 122)
Asymmetric unit:
Be1 0.2187 0.2500 0.1250
Tl1 0.0000 0.0000 0.5000
Cl1 0.0000 0.0000 0.0000

***

DFT (PBE) results for a relaxed structure of Pr4NdTl3.

Output
- excess energy over the best structure of this formula in the dataset (meV/atom) = 62
- formation energy (meV per atom) = -185

a = 3.7127 Å, b = 9.1185 Å, c = 15.5609 Å
α = 90.00°, β = 90.00°, γ = 90.00°
Space group Immm (No. 71)
Asymmetric unit:
Pr1 0.0000 0.1979 0.1377
Nd1 0.0000 0.5000 0.0000
Tl1 0.0000 0.0000 0.3168
Tl2 0.0000 0.5000 0.5000

***

| no. | mass density (g/cm3) | size of the total moment (μB/f.u.) | E_tot (eV per atom) |
| --- | --- | --- | --- |
| 1 | 4.49 | 0.00 | -4.42 |
| 2 | 4.24 | 5.61 | -4.74 |
| 3 | 11.88 | 0.00 | -9.05 |
| 4 | 6.63 | 0.00 | -4.55 |
| 5 | 5.50 | 9.51 | -7.27 |
| 6 | 8.42 | 0.00 | -5.81 |
| 7 | 6.79 | 0.00 | -3.91 |
| 8 | 3.34 | 0.00 | -4.51 |
| 9 | 7.23 | 0.05 | -4.20 |
| 10 | 3.89 | 1.24 | -3.66 |
| 11 | 12.80 | 0.00 | -5.39 |
| 12 | 9.60 | 0.00 | -4.86 |
| 13 | 14.02 | 0.00 | -11.50 |
| 14 | 4.15 | 1.12 | -3.90 |
| 15 | 10.29 | 0.00 | -8.22 |
| 16 | 4.77 | 0.00 | -2.55 |
| 17 | 6.22 | 0.00 | -6.20 |
| 18 | 5.45 | 0.69 | -4.10 |
| 19 | 5.45 | 0.00 | -2.47 |
| 20 | 8.33 | 0.00 | -4.06 |